This record from the Alexandria database describes an optimized crystal structure of YCu2H2. The functional is GGA-PBE.

Calculated values
* raw total energy: -4.26 eV per atom

Geometry as CIF:
```
data_YCu2H2
_cell_length_a 3.783
_cell_length_b 3.783
_cell_length_c 8.157
_cell_angle_alpha 90.00
_cell_angle_beta 90.00
_cell_angle_gamma 90.00
_symmetry_space_group_name_H-M 'I 4/m m m'
_symmetry_Int_Tables_number 139
_symmetry_space_group_name_Hall '-I 4 2'
loop_
_atom_site_label
_atom_site_type_symbol
_atom_site_fract_x
_atom_site_fract_y
_atom_site_fract_z
Y1 Y 0.000 0.000 0.000
Cu1 Cu 0.000 0.000 0.345
H1 H 0.000 0.500 0.250
```